1.
# BeCu2Cl

A PBEsol-optimized structure of BeCu2Cl (meta-GGA SCAN, Alexandria via LeMat-Bulk).

Output
Excess energy over the best structure of this formula in the dataset ... 678 meV/atom
Crystal system ... cubic
E_form (uncorrected) ... 79.23 kJ per mole of atoms

a = 4.241 Å, b = 4.241 Å, c = 4.241 Å
α = 60.00°, β = 60.00°, γ = 60.00°
Sites, in units of the cell vectors:
Be (0.000, 0.000, 0.000)
Cu (0.250, 0.250, 0.250)
Cu (0.750, 0.750, 0.750)
Cl (0.500, 0.500, 0.500)

***

2.
# Be2CuCl

A PBEsol-optimized structure of Be2CuCl (meta-GGA SCAN, Alexandria via LeMat-Bulk).

Output
Excess energy over the best structure of this formula in the dataset ... 0 meV/atom
Crystal system ... monoclinic
E_form (uncorrected) ... -0.94 kJ per mole of atoms

a = 3.049 Å, b = 2.877 Å, c = 7.044 Å
α = 90.00°, β = 90.79°, γ = 90.00°
Sites, in units of the cell vectors:
Be (0.000, 0.000, 0.000)
Be (0.496, 0.500, 0.794)
Cu (0.504, 0.500, 0.105)
Cl (0.489, 0.000, 0.600)

***

3.
# BeCu2NiCl

A PBEsol-optimized structure of BeCu2NiCl (meta-GGA SCAN, Alexandria via LeMat-Bulk).

Output
Crystal system ... tetragonal
E_form (uncorrected) ... 113.01 kJ per mole of atoms

a = 4.294 Å, b = 4.294 Å, c = 3.848 Å
α = 90.00°, β = 90.00°, γ = 90.00°
Sites, in units of the cell vectors:
Be (0.000, 0.000, 0.000)
Cu (0.000, 0.500, 0.500)
Cu (0.500, 0.000, 0.500)
Ni (0.500, 0.500, 0.000)
Cl (0.000, 0.000, 0.500)

***

4.
# BeCuS2Cl

A PBEsol-optimized structure of BeCuS2Cl (meta-GGA SCAN, Alexandria via LeMat-Bulk).

Output
Crystal system ... tetragonal
E_form (uncorrected) ... 18.41 kJ per mole of atoms

a = 3.940 Å, b = 3.940 Å, c = 5.868 Å
α = 90.00°, β = 90.00°, γ = 90.00°
Sites, in units of the cell vectors:
Be (0.000, 0.000, 0.000)
Cu (0.500, 0.500, 0.500)
S (0.000, 0.500, 0.000)
S (0.500, 0.000, 0.000)
Cl (0.000, 0.000, 0.500)

***

5.
# Be2FeCl

A PBEsol-optimized structure of Be2FeCl (meta-GGA SCAN, Alexandria via LeMat-Bulk).

Output
Excess energy over the best structure of this formula in the dataset ... 284 meV/atom
Crystal system ... monoclinic
E_form (uncorrected) ... 47.28 kJ per mole of atoms

a = 4.701 Å, b = 4.701 Å, c = 2.706 Å
α = 105.43°, β = 105.43°, γ = 118.45°
Sites, in units of the cell vectors:
Be (0.000, 0.500, 0.000)
Be (0.500, 0.000, 0.000)
Fe (0.000, 0.000, 0.000)
Cl (0.500, 0.500, 0.000)

***

6.
# BeFeCl2

A PBEsol-optimized structure of BeFeCl2 (meta-GGA SCAN, Alexandria via LeMat-Bulk).

Output
Excess energy over the best structure of this formula in the dataset ... 331 meV/atom
Crystal system ... tetragonal
E_form (uncorrected) ... -3.90 kJ per mole of atoms

a = 5.902 Å, b = 5.902 Å, c = 5.902 Å
α = 129.85°, β = 129.85°, γ = 73.64°
Sites, in units of the cell vectors:
Be (0.000, 0.000, 0.000)
Be (0.750, 0.250, 0.500)
Fe (0.250, 0.750, 0.500)
Fe (0.500, 0.500, 0.000)
Cl (0.091, 0.625, 0.966)
Cl (0.375, 0.341, 0.466)
Cl (0.659, 0.125, 0.034)
Cl (0.875, 0.909, 0.534)

***

7.
# BeFeCl2

A PBEsol-optimized structure of BeFeCl2 (meta-GGA SCAN, Alexandria via LeMat-Bulk).

Output
Excess energy over the best structure of this formula in the dataset ... 588 meV/atom
Crystal system ... tetragonal
E_form (uncorrected) ... 20.86 kJ per mole of atoms

a = 2.954 Å, b = 2.954 Å, c = 8.480 Å
α = 90.00°, β = 90.00°, γ = 90.00°
Sites, in units of the cell vectors:
Be (0.000, 0.000, 0.000)
Fe (0.000, 0.000, 0.500)
Cl (0.500, 0.500, 0.324)
Cl (0.500, 0.500, 0.676)

***

8.
# BeFeCl2

A PBEsol-optimized structure of BeFeCl2 (meta-GGA SCAN, Alexandria via LeMat-Bulk).

Output
Excess energy over the best structure of this formula in the dataset ... 621 meV/atom
Crystal system ... tetragonal
E_form (uncorrected) ... 24.08 kJ per mole of atoms

a = 6.268 Å, b = 6.268 Å, c = 6.268 Å
α = 149.67°, β = 149.67°, γ = 43.43°
Sites, in units of the cell vectors:
Be (0.000, 0.000, 0.000)
Fe (0.250, 0.750, 0.500)
Cl (0.500, 0.500, 0.000)
Cl (0.750, 0.250, 0.500)

***

9.
# Be4FeCl

A PBEsol-optimized structure of Be4FeCl (meta-GGA SCAN, Alexandria via LeMat-Bulk).

Output
Crystal system ... cubic
E_form (uncorrected) ... 51.58 kJ per mole of atoms

a = 4.368 Å, b = 4.368 Å, c = 4.368 Å
α = 60.00°, β = 60.00°, γ = 60.00°
Sites, in units of the cell vectors:
Be (0.378, 0.378, 0.378)
Be (0.378, 0.378, 0.866)
Be (0.378, 0.866, 0.378)
Be (0.866, 0.378, 0.378)
Fe (0.750, 0.750, 0.750)
Cl (0.000, 0.000, 0.000)

***

10.
# BeFeCl2

A PBEsol-optimized structure of BeFeCl2 (meta-GGA SCAN, Alexandria via LeMat-Bulk).

Output
Excess energy over the best structure of this formula in the dataset ... 0 meV/atom
Crystal system ... orthorhombic
E_form (uncorrected) ... -35.87 kJ per mole of atoms

a = 3.214 Å, b = 3.214 Å, c = 8.293 Å
α = 90.00°, β = 90.00°, γ = 124.50°
Sites, in units of the cell vectors:
Be (0.000, 0.000, 0.000)
Fe (0.500, 0.500, 0.774)
Cl (0.000, 0.000, 0.572)
Cl (0.500, 0.500, 0.161)

***

11.
# Be2FeCl

A PBEsol-optimized structure of Be2FeCl (meta-GGA SCAN, Alexandria via LeMat-Bulk).

Output
Excess energy over the best structure of this formula in the dataset ... 403 meV/atom
Crystal system ... tetragonal
E_form (uncorrected) ... 58.74 kJ per mole of atoms

a = 5.161 Å, b = 5.161 Å, c = 5.161 Å
α = 144.16°, β = 144.16°, γ = 51.59°
Sites, in units of the cell vectors:
Be (0.000, 0.000, 0.000)
Be (0.750, 0.250, 0.500)
Fe (0.250, 0.750, 0.500)
Cl (0.500, 0.500, 0.000)

***

12.
# BeFeCl2

A PBEsol-optimized structure of BeFeCl2 (meta-GGA SCAN, Alexandria via LeMat-Bulk).

Output
Excess energy over the best structure of this formula in the dataset ... 21 meV/atom
Crystal system ... monoclinic
E_form (uncorrected) ... -33.85 kJ per mole of atoms

a = 3.017 Å, b = 2.922 Å, c = 7.696 Å
α = 90.00°, β = 100.91°, γ = 90.00°
Sites, in units of the cell vectors:
Be (0.000, 0.000, 0.000)
Fe (0.397, 0.500, 0.780)
Cl (0.089, 0.500, 0.181)
Cl (0.813, 0.000, 0.604)

***

13.
# Be2FeCl

A PBEsol-optimized structure of Be2FeCl (meta-GGA SCAN, Alexandria via LeMat-Bulk).

Output
Excess energy over the best structure of this formula in the dataset ... 0 meV/atom
Crystal system ... tetragonal
E_form (uncorrected) ... 19.87 kJ per mole of atoms

a = 2.752 Å, b = 2.752 Å, c = 7.175 Å
α = 90.00°, β = 90.00°, γ = 90.00°
Sites, in units of the cell vectors:
Be (0.000, 0.000, 0.000)
Be (0.500, 0.500, 0.134)
Fe (0.500, 0.500, 0.794)
Cl (0.000, 0.000, 0.586)

***

14.
# YBe2FeCl

A PBEsol-optimized structure of YBe2FeCl (meta-GGA SCAN, Alexandria via LeMat-Bulk).

Output
Crystal system ... tetragonal
E_form (uncorrected) ... 77.83 kJ per mole of atoms

a = 4.283 Å, b = 4.283 Å, c = 4.242 Å
α = 90.00°, β = 90.00°, γ = 90.00°
Sites, in units of the cell vectors:
Y (0.000, 0.000, 0.000)
Be (0.000, 0.500, 0.500)
Be (0.500, 0.000, 0.500)
Fe (0.500, 0.500, 0.000)
Cl (0.500, 0.500, 0.500)

***

15.
# BeGaP2Cl

A PBEsol-optimized structure of BeGaP2Cl (meta-GGA SCAN, Alexandria via LeMat-Bulk).

Output
Crystal system ... tetragonal
E_form (uncorrected) ... 95.82 kJ per mole of atoms

a = 4.662 Å, b = 4.662 Å, c = 4.690 Å
α = 90.00°, β = 90.00°, γ = 90.00°
Sites, in units of the cell vectors:
Be (0.000, 0.000, 0.000)
Ga (0.500, 0.500, 0.500)
P (0.000, 0.500, 0.500)
P (0.500, 0.000, 0.500)
Cl (0.500, 0.500, 0.000)

***

16.
# BeGeP2Cl

A PBEsol-optimized structure of BeGeP2Cl (meta-GGA SCAN, Alexandria via LeMat-Bulk).

Output
Crystal system ... tetragonal
E_form (uncorrected) ... 105.87 kJ per mole of atoms

a = 4.673 Å, b = 4.673 Å, c = 4.708 Å
α = 90.00°, β = 90.00°, γ = 90.00°
Sites, in units of the cell vectors:
Be (0.000, 0.000, 0.000)
Ge (0.500, 0.500, 0.500)
P (0.000, 0.500, 0.500)
P (0.500, 0.000, 0.500)
Cl (0.500, 0.500, 0.000)

***

17.
# Be2GePbCl

A PBEsol-optimized structure of Be2GePbCl (meta-GGA SCAN, Alexandria via LeMat-Bulk).

Output
Crystal system ... tetragonal
E_form (uncorrected) ... 99.69 kJ per mole of atoms

a = 4.338 Å, b = 4.338 Å, c = 5.516 Å
α = 90.00°, β = 90.00°, γ = 90.00°
Sites, in units of the cell vectors:
Be (0.000, 0.500, 0.000)
Be (0.500, 0.000, 0.000)
Ge (0.000, 0.000, 0.500)
Pb (0.500, 0.500, 0.500)
Cl (0.500, 0.500, 0.000)

***

18.
# LaBe2HCl

A PBEsol-optimized structure of LaBe2HCl (meta-GGA SCAN, Alexandria via LeMat-Bulk).

Output
Crystal system ... tetragonal

a = 5.836 Å, b = 5.836 Å, c = 5.412 Å
α = 90.00°, β = 90.00°, γ = 90.00°
Sites, in units of the cell vectors:
La (0.000, 0.000, 0.000)
Be (0.000, 0.500, 0.000)
Be (0.500, 0.000, 0.000)
H (0.500, 0.500, 0.500)
Cl (0.000, 0.000, 0.500)

***

19.
# Be2PHCl

A PBEsol-optimized structure of Be2PHCl (meta-GGA SCAN, Alexandria via LeMat-Bulk).

Output
Crystal system ... tetragonal

a = 4.203 Å, b = 4.203 Å, c = 3.186 Å
α = 90.00°, β = 90.00°, γ = 90.00°
Sites, in units of the cell vectors:
Be (0.000, 0.500, 0.000)
Be (0.500, 0.000, 0.000)
P (0.000, 0.000, 0.500)
H (0.500, 0.500, 0.500)
Cl (0.500, 0.500, 0.000)

***

20.
# BeSiHCl2

A PBEsol-optimized structure of BeSiHCl2 (meta-GGA SCAN, Alexandria via LeMat-Bulk).

Output
Crystal system ... tetragonal

a = 4.158 Å, b = 4.158 Å, c = 4.992 Å
α = 90.00°, β = 90.00°, γ = 90.00°
Sites, in units of the cell vectors:
Be (0.000, 0.000, 0.000)
Si (0.000, 0.000, 0.500)
H (0.500, 0.500, 0.500)
Cl (0.000, 0.500, 0.000)
Cl (0.500, 0.000, 0.000)

***

| no. | calculated total energy (eV/atom) |
| --- | --- |
| 1 | -9.861 |
| 2 | -7.981 |
| 3 | -10.609 |
| 4 | -9.167 |
| 5 | -8.214 |
| 6 | -9.650 |
| 7 | -9.394 |
| 8 | -9.360 |
| 9 | -6.719 |
| 10 | -9.981 |
| 11 | -8.095 |
| 12 | -9.961 |
| 13 | -8.498 |
| 14 | -11.725 |
| 15 | -8.902 |
| 16 | -9.346 |
| 17 | -21.278 |
| 18 | -11.585 |
| 19 | -5.394 |
| 20 | -6.254 |